BeP2Se: relaxed, GGA-PBE.

abc: 10.256 10.256 10.256
angles: 19.71 19.71 19.71
Sites, in units of the cell vectors:
Be  0.000  0.000  0.000
P  0.208  0.208  0.208
P  0.502  0.502  0.502
Se  0.676  0.676  0.676

Computed properties:
- Symmetry: R3m, No. 160
- E above lowest polymorph: 0.094 eV per atom
- Uncorrected formation energy: -0.18 eV/atom
- Magnetic moment: 0.00 μB/f.u.



PmSmCoNi: relaxed, GGA-PBE.

abc: 3.977 5.787 5.787
angles: 39.57 90.00 90.00
Sites, in units of the cell vectors:
Pm  0.000  0.000  0.000
Sm  0.500  0.720  0.720
Co  0.500  0.427  0.427
Ni  0.000  0.294  0.294

Computed properties:
- Symmetry: Amm2, No. 38
- E above lowest polymorph: 0.000 eV per atom
- Magnetic moment: 0.00 μB/f.u.
- DFT formation energy: -0.216 eV per atom



NaAg2AuBr6: relaxed, GGA-PBE.

abc: 7.096 7.258 7.450
angles: 83.15 66.88 66.69
Sites, in units of the cell vectors:
Na  0.000  0.000  0.000
Ag  0.461  0.334  0.749
Ag  0.484  0.768  0.161
Au  0.041  0.434  0.442
Br  0.213  0.654  0.489
Br  0.237  0.172  0.635
Br  0.441  0.686  0.845
Br  0.543  0.116  0.050
Br  0.831  0.704  0.269
Br  0.866  0.209  0.406

Computed properties:
- Symmetry: P1, No. 1
- Uncorrected formation energy: -0.47 eV/atom
- Magnetic moment: 0.00 μB/f.u.